# 1
# Ce3PrSm2N6 | Alexandria via LeMat-Bulk | GGA-PBE | optimized geometry
data_Ce3PrSm2N6
_chemical_formula_sum 'Ce3 Pr1 Sm2 N6'
_cell_length_a 6.222
_cell_length_b 6.222
_cell_length_c 6.215
_cell_angle_alpha 99.61
_cell_angle_beta 99.61
_cell_angle_gamma 119.99
_space_group_name_H-M_alt 'P 1'
_space_group_IT_number 1
loop_
_space_group_symop_operation_xyz
'x,y,z'
loop_
_atom_site_label
_atom_site_type_symbol
_atom_site_fract_x
_atom_site_fract_y
_atom_site_fract_z
Ce1 Ce 0.000 0.000 0.000
Ce2 Ce 0.333 0.667 0.000
Ce3 Ce 0.667 0.333 0.000
Pr1 Pr 0.500 0.500 0.500
Sm1 Sm 0.167 0.833 0.500
Sm2 Sm 0.833 0.167 0.500
N1 N 0.073 0.412 0.237
N2 N 0.248 0.248 0.763
N3 N 0.412 0.073 0.237
N4 N 0.588 0.927 0.763
N5 N 0.752 0.752 0.237
N6 N 0.927 0.588 0.763
# Spin magnetization ... 0.00 μB per formula unit
# V ... 16.4 Å³/atom
# Space-group type ... C2/m (12)
# ΔE_f (raw) ... -1478 meV/atom

# 2
# Ac2TbNi | Alexandria via LeMat-Bulk | GGA-PBE | optimized geometry
data_Ac2TbNi
_chemical_formula_sum 'Ac2 Tb1 Ni1'
_cell_length_a 11.013
_cell_length_b 11.013
_cell_length_c 11.013
_cell_angle_alpha 20.48
_cell_angle_beta 20.48
_cell_angle_gamma 20.48
_space_group_name_H-M_alt 'P 1'
_space_group_IT_number 1
loop_
_space_group_symop_operation_xyz
'x,y,z'
loop_
_atom_site_label
_atom_site_type_symbol
_atom_site_fract_x
_atom_site_fract_y
_atom_site_fract_z
Ac1 Ac 0.111 0.111 0.111
Ac2 Ac 0.889 0.889 0.889
Tb1 Tb 0.000 0.000 0.000
Ni1 Ni 0.500 0.500 0.500
# Spin magnetization ... 0.00 μB per formula unit
# V ... 35.8 Å³/atom
# Space-group type ... R-3m (166)
# Polymorph energy (0 for the lowest one) ... 0.72 eV/f.u.
# Energy of formation ... 0.1804 eV per atom

# 3
# Ho2GaO | Alexandria via LeMat-Bulk | GGA-PBE | optimized geometry
data_Ho2GaO
_chemical_formula_sum 'Ho2 Ga1 O1'
_cell_length_a 3.347
_cell_length_b 7.586
_cell_length_c 7.586
_cell_angle_alpha 24.52
_cell_angle_beta 90.00
_cell_angle_gamma 90.00
_space_group_name_H-M_alt 'P 1'
_space_group_IT_number 1
loop_
_space_group_symop_operation_xyz
'x,y,z'
loop_
_atom_site_label
_atom_site_type_symbol
_atom_site_fract_x
_atom_site_fract_y
_atom_site_fract_z
Ho1 Ho 0.000 0.000 0.000
Ho2 Ho 0.500 0.310 0.310
Ga1 Ga 0.500 0.634 0.634
O1 O 0.000 0.844 0.844
# Spin magnetization ... 0.00 μB per formula unit
# V ... 20.0 Å³/atom
# Space-group type ... Amm2 (38)
# Polymorph energy (0 for the lowest one) ... 0.00 eV/f.u.
# ΔE_f (raw) ... -1511 meV/atom

# 4
# NdPuAg | Alexandria via LeMat-Bulk | GGA-PBE | optimized geometry
data_NdPuAg
_chemical_formula_sum 'Nd1 Pu1 Ag1'
_cell_length_a 6.801
_cell_length_b 6.801
_cell_length_c 6.801
_cell_angle_alpha 148.96
_cell_angle_beta 148.96
_cell_angle_gamma 44.47
_space_group_name_H-M_alt 'P 1'
_space_group_IT_number 1
loop_
_space_group_symop_operation_xyz
'x,y,z'
loop_
_atom_site_label
_atom_site_type_symbol
_atom_site_fract_x
_atom_site_fract_y
_atom_site_fract_z
Nd1 Nd 0.000 0.000 0.000
Pu1 Pu 0.699 0.699 0.000
Ag1 Ag 0.349 0.349 0.000
# Spin magnetization ... 6.42 μB per formula unit
# V ... 27.8 Å³/atom
# Space-group type ... I4mm (107)
# Polymorph energy (0 for the lowest one) ... 0.00 eV/f.u.
# Energy of formation ... 0.0648 eV per atom

# 5
# SmTh2H | Alexandria via LeMat-Bulk | GGA-PBE | optimized geometry
data_SmTh2H
_chemical_formula_sum 'Sm1 Th2 H1'
_cell_length_a 10.032
_cell_length_b 10.032
_cell_length_c 10.032
_cell_angle_alpha 19.87
_cell_angle_beta 19.87
_cell_angle_gamma 19.87
_space_group_name_H-M_alt 'P 1'
_space_group_IT_number 1
loop_
_space_group_symop_operation_xyz
'x,y,z'
loop_
_atom_site_label
_atom_site_type_symbol
_atom_site_fract_x
_atom_site_fract_y
_atom_site_fract_z
Sm1 Sm 0.000 0.000 0.000
Th1 Th 0.113 0.113 0.113
Th2 Th 0.887 0.887 0.887
H1 H 0.500 0.500 0.500
# Spin magnetization ... 0.00 μB per formula unit
# V ... 25.5 Å³/atom
# Space-group type ... R-3m (166)
# E ... -22.61 eV for the cell shown

# 6
# DyZnPdPt | Alexandria via LeMat-Bulk | GGA-PBE | optimized geometry
data_DyZnPdPt
_chemical_formula_sum 'Dy1 Zn1 Pd1 Pt1'
_cell_length_a 4.423
_cell_length_b 4.423
_cell_length_c 5.135
_cell_angle_alpha 115.60
_cell_angle_beta 115.60
_cell_angle_gamma 60.19
_space_group_name_H-M_alt 'P 1'
_space_group_IT_number 1
loop_
_space_group_symop_operation_xyz
'x,y,z'
loop_
_atom_site_label
_atom_site_type_symbol
_atom_site_fract_x
_atom_site_fract_y
_atom_site_fract_z
Dy1 Dy 0.000 0.000 0.000
Zn1 Zn 0.494 0.494 0.483
Pd1 Pd 0.218 0.218 0.654
Pt1 Pt 0.780 0.780 0.341
# Spin magnetization ... 0.00 μB per formula unit
# V ... 18.9 Å³/atom
# Space-group type ... Cm (8)
# Energy of formation ... -0.8539 eV per atom

# 7
# Sc3GaRu3 | Alexandria via LeMat-Bulk | GGA-PBE | optimized geometry
data_Sc3GaRu3
_chemical_formula_sum 'Sc6 Ga2 Ru6'
_cell_length_a 6.257
_cell_length_b 6.257
_cell_length_c 6.376
_cell_angle_alpha 90.13
_cell_angle_beta 90.13
_cell_angle_gamma 87.66
_space_group_name_H-M_alt 'P 1'
_space_group_IT_number 1
loop_
_space_group_symop_operation_xyz
'x,y,z'
loop_
_atom_site_label
_atom_site_type_symbol
_atom_site_fract_x
_atom_site_fract_y
_atom_site_fract_z
Sc1 Sc 0.001 0.001 0.253
Sc2 Sc 0.001 0.498 0.749
Sc3 Sc 0.498 0.001 0.749
Sc4 Sc 0.502 0.999 0.251
Sc5 Sc 0.999 0.502 0.251
Sc6 Sc 0.999 0.999 0.747
Ga1 Ga 0.500 0.500 0.237
Ga2 Ga 0.500 0.500 0.763
Ru1 Ru 0.250 0.250 0.001
Ru2 Ru 0.257 0.743 0.000
Ru3 Ru 0.274 0.726 0.500
Ru4 Ru 0.726 0.274 0.500
Ru5 Ru 0.743 0.257 0.000
Ru6 Ru 0.750 0.750 0.999
# Spin magnetization ... 0.00 μB per formula unit
# V ... 17.8 Å³/atom
# Space-group type ... C2/m (12)
# Energy of formation ... -0.4639 eV per atom

# 8
# Pr2Nd5Mg | Alexandria via LeMat-Bulk | GGA-PBE | optimized geometry
data_Pr2Nd5Mg
_chemical_formula_sum 'Pr4 Nd10 Mg2'
_cell_length_a 9.688
_cell_length_b 9.688
_cell_length_c 9.644
_cell_angle_alpha 96.39
_cell_angle_beta 96.39
_cell_angle_gamma 139.93
_space_group_name_H-M_alt 'P 1'
_space_group_IT_number 1
loop_
_space_group_symop_operation_xyz
'x,y,z'
loop_
_atom_site_label
_atom_site_type_symbol
_atom_site_fract_x
_atom_site_fract_y
_atom_site_fract_z
Pr1 Pr 0.000 0.000 0.000
Pr2 Pr 0.000 0.000 0.500
Pr3 Pr 0.000 0.500 0.000
Pr4 Pr 0.500 0.000 0.500
Nd1 Nd 0.060 0.424 0.613
Nd2 Nd 0.286 0.402 0.864
Nd3 Nd 0.386 0.614 0.250
Nd4 Nd 0.402 0.286 0.364
Nd5 Nd 0.424 0.060 0.113
Nd6 Nd 0.576 0.940 0.887
Nd7 Nd 0.598 0.714 0.636
Nd8 Nd 0.614 0.386 0.750
Nd9 Nd 0.714 0.598 0.136
Nd10 Nd 0.940 0.576 0.387
Mg1 Mg 0.145 0.855 0.750
Mg2 Mg 0.855 0.145 0.250
# Spin magnetization ... 0.00 μB per formula unit
# V ... 34.4 Å³/atom
# Space-group type ... C2/c (15)
# Polymorph energy (0 for the lowest one) ... 1.44 eV/f.u.
# Energy of formation ... 0.1740 eV per atom